1.
Compound: VGa2I8
Source: the Alexandria database
Functional: PBE
Structure: optimized geometry

```
VGa2I8
1.0
-2.261 3.804 -5.316
-1.537 -6.717 -5.193
-8.380 -1.112 1.728
I Ga V
8 2 1
Cartesian
-8.577 -1.980 -0.965
-4.320 -2.154 -2.527
-3.601 -2.045 -7.816
-8.646 -5.353 -4.213
-4.138 -5.616 -5.454
-3.532 1.329 -4.568
-8.040 1.591 -3.326
-7.858 -1.870 -6.254
-2.733 -0.169 -2.566
-9.445 -3.856 -6.215
0.000 0.000 0.000
```

Uncorrected formation energy in kJ/mol of formula units: -502.8
SG: C2/m, No. 12

2.
Compound: YVGa2I
Source: the Alexandria database
Functional: PBE
Structure: optimized geometry

```
YVGa2I
1.0
-1.290 -0.768 4.748
-4.206 -2.791 -1.594
2.735 -4.160 0.070
Ga I Y V
2 1 1 1
Cartesian
-0.645 -0.384 2.374
1.367 -2.080 0.035
-1.380 -3.860 1.612
-2.103 -1.396 -0.797
0.000 0.000 0.000
```

Uncorrected formation energy in kJ/mol of formula units: 95.3
Fermi-level density of states in states/eV/cell: 4.32
SG: P4/mmm, No. 123

3.
Compound: GaWI3
Source: the Alexandria database
Functional: PBE
Structure: optimized geometry

```
GaWI3
1.0
5.628 0.000 0.000
0.000 5.628 0.000
0.000 0.000 5.628
I Ga W
3 1 1
Cartesian
2.814 0.000 0.000
0.000 0.000 2.814
0.000 2.814 0.000
0.000 0.000 0.000
2.814 2.814 2.814
```

Uncorrected formation energy in kJ/mol of formula units: 580.1
Fermi-level density of states in states/eV/cell: 8.06
SG: Pm-3m, No. 221

4.
Compound: GaW2I2
Source: the Alexandria database
Functional: PBE
Structure: optimized geometry

```
GaW2I2
1.0
8.599 0.000 0.000
0.000 8.599 0.000
0.000 0.000 3.237
Ga W I
2 4 4
Cartesian
0.000 0.000 0.000
4.299 4.299 0.000
3.462 0.838 1.619
0.838 5.137 1.619
7.761 3.462 1.619
5.137 7.761 1.619
6.980 5.918 0.000
5.918 1.619 0.000
2.681 6.980 0.000
1.619 2.681 0.000
```

Uncorrected formation energy in kJ/mol of formula units: 706.5
Fermi-level density of states in states/eV/cell: 11.81
SG: P4/mbm, No. 127

5.
Compound: GaW2I
Source: the Alexandria database
Functional: PBE
Structure: optimized geometry

```
GaW2I
1.0
-3.826 -1.389 2.125
-2.572 3.024 2.307
-4.110 1.235 -1.632
Ga W I
1 2 1
Cartesian
0.000 0.000 0.000
-7.880 2.153 2.100
-2.627 0.718 0.700
-5.254 1.435 1.400
```

Uncorrected formation energy in kJ/mol of formula units: 413.9
Fermi-level density of states in states/eV/cell: 2.58
SG: Fm-3m, No. 225

6.
Compound: GaW2I2
Source: the Alexandria database
Functional: PBE
Structure: optimized geometry

```
GaW2I2
1.0
3.696 0.000 0.000
0.000 3.696 0.000
1.848 1.848 9.439
W I Ga
2 2 1
Cartesian
1.848 3.696 4.720
3.696 1.848 4.720
1.848 1.848 2.266
3.696 3.696 7.173
0.000 0.000 0.000
```

Uncorrected formation energy in kJ/mol of formula units: 454.8
Fermi-level density of states in states/eV/cell: 3.77
SG: I4/mmm, No. 139

7.
Compound: GaWI2
Source: the Alexandria database
Functional: PBE
Structure: optimized geometry

```
GaWI2
1.0
0.000 3.532 3.532
3.532 0.000 3.532
3.532 3.532 0.000
Ga W I
1 1 2
Cartesian
0.000 0.000 0.000
3.532 3.532 3.532
5.298 5.298 5.298
1.766 1.766 1.766
```

Uncorrected formation energy in kJ/mol of formula units: 416.9
Fermi-level density of states in states/eV/cell: 4.31
SG: Fm-3m, No. 225

8.
Compound: GaWI3
Source: the Alexandria database
Functional: PBE
Structure: optimized geometry

```
GaWI3
1.0
5.697 0.000 0.000
0.000 5.697 0.000
0.000 0.000 5.697
I Ga W
3 1 1
Cartesian
2.849 0.000 0.000
0.000 0.000 2.849
0.000 2.849 0.000
2.849 2.849 2.849
0.000 0.000 0.000
```

Uncorrected formation energy in kJ/mol of formula units: 246.3
Fermi-level density of states in states/eV/cell: 1.41
SG: Pm-3m, No. 221

The evaluated total magnetic moment for the records listed, in turn: 3.00 1.82 4.95 0.00 0.00 0.00 0.00 3.91 μB per cell.